! PBE NdDyHg4, optimized geometry; values from VASP
! E above lowest polymorph ... 0 meV/atom
! Energy of formation from the pure elements ... -0.35 eV/atom
! Calculated total energy ... -2.1140 eV per atom
&SYSTEM
  ibrav = 0, nat = 6, ntyp = 3
/
ATOMIC_SPECIES
Nd 144.24 Nd.upf
Dy 162.50 Dy.upf
Hg 200.59 Hg.upf
ATOMIC_POSITIONS crystal
Nd 0.500 0.500 0.500
Dy 0.000 0.000 0.000
Hg 0.826 0.506 0.843
Hg 0.343 0.989 0.324
Hg 0.174 0.494 0.157
Hg 0.657 0.011 0.676
CELL_PARAMETERS angstrom
-2.054 2.535 2.161
-5.514 -0.172 -1.496
-0.100 -3.330 7.354

***

! PBE VCrHRu2, optimized geometry; values from VASP
! E above lowest polymorph ... 20 meV/atom
! Calculated total energy ... -8.1155 eV per atom
&SYSTEM
  ibrav = 0, nat = 5, ntyp = 4
/
ATOMIC_SPECIES
Ru 101.07 Ru.upf
V 50.94 V.upf
H 1.01 H.upf
Cr 52.00 Cr.upf
ATOMIC_POSITIONS crystal
Ru 0.000 0.500 0.000
Ru 0.500 0.000 0.000
V 0.000 0.000 0.500
H 0.000 0.000 0.000
Cr 0.500 0.500 0.500
CELL_PARAMETERS angstrom
-3.591 -1.471 -0.041
0.950 -2.398 2.900
-1.082 2.571 2.480

***

! PBE MgGe2Pb, optimized geometry; values from VASP
! E above lowest polymorph ... 0 meV/atom
! Energy of formation from the pure elements ... 0.18 eV/atom
! Calculated total energy ... -3.4498 eV per atom
&SYSTEM
  ibrav = 0, nat = 4, ntyp = 3
/
ATOMIC_SPECIES
Pb 207.20 Pb.upf
Ge 72.64 Ge.upf
Mg 24.30 Mg.upf
ATOMIC_POSITIONS crystal
Pb 0.500 0.500 0.500
Ge 0.250 0.250 0.250
Ge 0.750 0.750 0.750
Mg 0.000 0.000 0.000
CELL_PARAMETERS angstrom
0.000 3.593 3.593
3.593 0.000 3.593
3.593 3.593 0.000

***

Calculated values (μB per formula unit) of magnetization for the records, taken in order: 0.32 1.55 0.00.